# 1
## LaRhCl3 (PBEsol)

Data for an optimized crystal structure of LaRhCl3.

Results
- calculated density (g cm⁻³) = 3.581
- formation energy from raw total energies (meV/atom) = -590

CIF file:
```
data_LaRhCl3
_cell_length_a 5.445
_cell_length_b 5.445
_cell_length_c 5.445
_cell_angle_alpha 90.00
_cell_angle_beta 90.00
_cell_angle_gamma 90.00
_space_group_name_H-M_alt 'P m -3 m'
_space_group_IT_number 221
_space_group_name_Hall '-P 4 2 3'
loop_
_atom_site_label
_atom_site_fract_x
_atom_site_fract_y
_atom_site_fract_z
_atom_site_occupancy
La1 0.000 0.000 0.000 1
Rh1 0.500 0.500 0.500 1
Cl1 0.000 0.000 0.500 1
```



# 2
## LaRhCl2 (PBEsol)

Data for an optimized crystal structure of LaRhCl2.

Results
- calculated density (g cm⁻³) = 6.773
- relative energy among the computed polymorphs (meV/atom) = 225
- formation energy from raw total energies (meV/atom) = -975

CIF file:
```
data_LaRhCl2
_cell_length_a 3.961
_cell_length_b 4.102
_cell_length_c 4.718
_cell_angle_alpha 90.00
_cell_angle_beta 90.00
_cell_angle_gamma 90.00
_space_group_name_H-M_alt 'P m m m'
_space_group_IT_number 47
loop_
_space_group_symop_operation_xyz
'x,y,z'
'-x,-y,-z'
'-x,-y,z'
'x,y,-z'
'x,-y,-z'
'-x,y,z'
'-x,y,-z'
'x,-y,z'
loop_
_atom_site_label
_atom_site_fract_x
_atom_site_fract_y
_atom_site_fract_z
_atom_site_occupancy
La1 0.000 0.000 0.000 1
Rh1 0.500 0.000 0.500 1
Cl1 0.000 0.500 0.500 1
Cl2 0.500 0.500 0.000 1
```



# 3
## LaRhCl2 (PBEsol)

Data for an optimized crystal structure of LaRhCl2.

Results
- calculated density (g cm⁻³) = 6.726
- relative energy among the computed polymorphs (meV/atom) = 290
- formation energy from raw total energies (meV/atom) = -910

CIF file:
```
data_LaRhCl2
_cell_length_a 4.471
_cell_length_b 4.471
_cell_length_c 7.725
_cell_angle_alpha 90.00
_cell_angle_beta 90.00
_cell_angle_gamma 90.00
_space_group_name_H-M_alt 'I 4/m m m'
_space_group_IT_number 139
_space_group_name_Hall '-I 4 2'
loop_
_atom_site_label
_atom_site_fract_x
_atom_site_fract_y
_atom_site_fract_z
_atom_site_occupancy
La1 0.000 0.000 0.000 1
Rh1 0.000 0.000 0.500 1
Cl1 0.000 0.500 0.250 1
```



# 4
## LaRhCl (PBEsol)

Data for an optimized crystal structure of LaRhCl.

Results
- calculated density (g cm⁻³) = 7.041
- formation energy from raw total energies (meV/atom) = -517

CIF file:
```
data_LaRhCl
_cell_length_a 6.395
_cell_length_b 6.395
_cell_length_c 6.395
_cell_angle_alpha 90.00
_cell_angle_beta 90.00
_cell_angle_gamma 90.00
_space_group_name_H-M_alt 'F -4 3 m'
_space_group_IT_number 216
_space_group_name_Hall 'F -4 2 3'
loop_
_atom_site_label
_atom_site_fract_x
_atom_site_fract_y
_atom_site_fract_z
_atom_site_occupancy
La1 0.000 0.000 0.000 1
Rh1 0.000 0.000 0.500 1
Cl1 0.250 0.250 0.250 1
```



# 5
## LaRh2Cl (PBEsol)

Data for an optimized crystal structure of LaRh2Cl.

Results
- calculated density (g cm⁻³) = 8.692
- relative energy among the computed polymorphs (meV/atom) = 201
- formation energy from raw total energies (meV/atom) = -150

CIF file:
```
data_LaRh2Cl
_cell_length_a 3.585
_cell_length_b 3.585
_cell_length_c 5.652
_cell_angle_alpha 90.00
_cell_angle_beta 90.00
_cell_angle_gamma 90.00
_space_group_name_H-M_alt 'P 4/m m m'
_space_group_IT_number 123
_space_group_name_Hall '-P 4 2'
loop_
_atom_site_label
_atom_site_fract_x
_atom_site_fract_y
_atom_site_fract_z
_atom_site_occupancy
La1 0.000 0.000 0.000 1
Rh1 0.500 0.500 0.249 1
Cl1 0.000 0.000 0.500 1
```



# 6
## La3RhCl (PBEsol)

Data for an optimized crystal structure of La3RhCl.

Results
- calculated density (g cm⁻³) = 6.377
- formation energy from raw total energies (meV/atom) = -243

CIF file:
```
data_La3RhCl
_cell_length_a 5.248
_cell_length_b 5.248
_cell_length_c 5.248
_cell_angle_alpha 90.00
_cell_angle_beta 90.00
_cell_angle_gamma 90.00
_space_group_name_H-M_alt 'P m -3 m'
_space_group_IT_number 221
_space_group_name_Hall '-P 4 2 3'
loop_
_atom_site_label
_atom_site_fract_x
_atom_site_fract_y
_atom_site_fract_z
_atom_site_occupancy
La1 0.000 0.000 0.500 1
Rh1 0.500 0.500 0.500 1
Cl1 0.000 0.000 0.000 1
```



Repeat the first record exactly.
## LaRhCl3 (PBEsol)

Data for an optimized crystal structure of LaRhCl3.

Results
- calculated density (g cm⁻³) = 3.581
- formation energy from raw total energies (meV/atom) = -590

CIF file:
```
data_LaRhCl3
_cell_length_a 5.445
_cell_length_b 5.445
_cell_length_c 5.445
_cell_angle_alpha 90.00
_cell_angle_beta 90.00
_cell_angle_gamma 90.00
_space_group_name_H-M_alt 'P m -3 m'
_space_group_IT_number 221
_space_group_name_Hall '-P 4 2 3'
loop_
_atom_site_label
_atom_site_fract_x
_atom_site_fract_y
_atom_site_fract_z
_atom_site_occupancy
La1 0.000 0.000 0.000 1
Rh1 0.500 0.500 0.500 1
Cl1 0.000 0.000 0.500 1
```